Entry 1:
# GdErGa6

An optimized crystal structure of GdErGa6 (PBE, OQMD via LeMat-Bulk).

```
GdErGa6
1.0
6.268 0.000 0.000
-3.134 5.428 0.000
0.000 0.000 4.556
Gd Er Ga
1 1 6
Cartesian
0.000 0.000 0.000 Gd
3.134 1.809 2.278 Er
-1.396 2.813 0.000 Ga
0.000 2.013 2.278 Ga
-1.390 4.422 2.278 Ga
1.396 2.813 0.000 Ga
0.000 5.230 0.000 Ga
1.390 4.422 2.278 Ga
```

Results
SG: P-6m2 (187)
Final energy in eV/cell: -31.649

***

Entry 2:
# ZrSnPO

An optimized crystal structure of ZrSnPO (PBE, OQMD via LeMat-Bulk).

```
ZrSnPO
1.0
3.820 0.000 0.000
0.000 3.820 0.000
0.000 0.000 9.641
Zr Sn P O
2 2 2 2
Cartesian
0.955 0.955 1.145 Zr
2.865 2.865 8.496 Zr
0.955 2.865 4.820 Sn
2.865 0.955 4.820 Sn
0.955 0.955 7.262 P
2.865 2.865 2.379 P
0.955 2.865 0.000 O
2.865 0.955 0.000 O
```

Results
SG: P4/nmm (129)
Final energy in eV/cell: -54.496
ΔE to the lowest computed polymorph in meV/atom: 142

***

Entry 3:
# TlSiHg

An optimized crystal structure of TlSiHg (PBE, OQMD via LeMat-Bulk).

```
TlSiHg
1.0
0.000 3.392 3.392
3.392 0.000 3.392
3.392 3.392 0.000
Tl Si Hg
1 1 1
Cartesian
0.000 0.000 0.000 Tl
5.088 5.088 5.088 Si
3.392 3.392 3.392 Hg
```

Results
SG: F-43m (216)
Final energy in eV/cell: -6.923
ΔE to the lowest computed polymorph in meV/atom: 0